Material: ZnCrRh
Method: DFT, PBE
State: optimized geometry

Cell lengths 4.642, 4.642, 4.642 Å; angles 144.33, 134.45, 59.16 degrees
Element x y z (fractional)
Cr  0.996  0.996  0.000
Zn  0.667  0.667  0.000
Rh  0.337  0.337  0.000

Computed properties:
The value obtained for the distance to the lowest polymorph of the same formula is 0.000 eV/atom. The final energy comes out at -18.456 eV per formula unit. The formation energy comes out at -0.069 eV/atom. As for the crystal system: orthorhombic. The calculation puts the theoretical density at 8.9 g/cm3.